# In2ReBr

An optimized crystal structure of In2ReBr (PBE, Alexandria via LeMat-Bulk).

Results
relative energy among the computed polymorphs: 296 meV per atom

Lattice parameters (Å, degrees): 3.1407 3.1407 9.3469 90.00 90.00 90.00
Sites, in units of the cell vectors:
Re: 0.0000 0.0000 0.5061
In: 0.0000 0.0000 0.0259
Br: 0.5000 0.5000 0.6673
In: 0.5000 0.5000 0.3007

---

# Nd2Tm3S8

An optimized crystal structure of Nd2Tm3S8 (PBE, Alexandria via LeMat-Bulk).

Results
E: -6.21 eV per atom

Lattice parameters (Å, degrees): 6.6943 7.9584 7.9693 119.96 107.16 90.00
Sites, in units of the cell vectors:
Tm: 0.5000 0.0000 0.0000
Tm: 0.0000 0.2615 0.0000
S: 0.4102 0.8879 0.2384
S: 0.4102 0.3506 0.2384
S: 0.0677 0.3803 0.7605
S: 0.9218 0.1118 0.2236
S: 0.0782 0.8882 0.7764
Nd: 0.6590 0.7350 0.4700
Tm: 0.0000 0.7385 0.0000
S: 0.9323 0.6197 0.2395
Nd: 0.3410 0.2650 0.5300
S: 0.5898 0.1121 0.7616
S: 0.5898 0.6494 0.7616

---

# YRe2Cl

An optimized crystal structure of YRe2Cl (PBE, Alexandria via LeMat-Bulk).

Results
relative energy among the computed polymorphs: 374 meV per atom

Lattice parameters (Å, degrees): 6.3581 6.3581 6.3581 146.58 146.58 47.99
Sites, in units of the cell vectors:
Re: 0.0000 0.0000 0.0000
Re: 0.5000 0.5000 0.0000
Cl: 0.7500 0.2500 0.5000
Y: 0.2500 0.7500 0.5000

---

# CsPCO2

An optimized crystal structure of CsPCO2 (PBE, Alexandria via LeMat-Bulk).

Results
E: -2.82 eV per atom

Lattice parameters (Å, degrees): 4.1302 4.1302 8.0111 90.00 90.00 90.00
Site moments in Bohr magnetons follow the coordinates.
Sites, in units of the cell vectors:
O: 0.0000 0.5000 0.0000  -0.09
Cs: 0.0000 0.0000 0.0000  -0.04
C: 0.5000 0.5000 0.5000  0.48
O: 0.5000 0.0000 0.0000  -0.09
P: 0.0000 0.0000 0.5000  -0.48

---

# RbCo3I

An optimized crystal structure of RbCo3I (PBE, Alexandria via LeMat-Bulk).

Results
relative energy among the computed polymorphs: 1110 meV per atom

Lattice parameters (Å, degrees): 4.9889 4.9889 4.9889 90.00 90.00 90.00
Site moments in Bohr magnetons follow the coordinates.
Sites, in units of the cell vectors:
Rb: 0.0000 0.0000 0.0000  -0.03
Co: 0.0000 0.0000 0.5000  1.44
Co: 0.5000 0.0000 0.0000  1.82
Co: 0.0000 0.5000 0.0000  1.65
I: 0.5000 0.5000 0.5000  0.09

---

# CrAsPt3

An optimized crystal structure of CrAsPt3 (PBE, Alexandria via LeMat-Bulk).

Results
calculated formation energy: 51 kJ per mole of atoms
relative energy among the computed polymorphs: 0 meV per atom

Lattice parameters (Å, degrees): 4.6565 4.6565 4.6565 90.00 90.00 90.00
Site moments in Bohr magnetons follow the coordinates.
Sites, in units of the cell vectors:
Cr: 0.5000 0.5000 0.5000  3.95
As: 0.0000 0.0000 0.0000  0.01
Pt: 0.0000 0.5000 0.0000  0.05
Pt: 0.5000 0.0000 0.0000  0.06
Pt: 0.0000 0.0000 0.5000  0.06

---

N(E_F) readings, ordered: 0.5155 0.5156 0.6433 1.1237 1.6426 0.7594 states/eV per atom